# 1
# FeCoH3 | Alexandria via LeMat-Bulk | PBE-GGA | optimized geometry
data_FeCoH3
_space_group_name_H-M_alt 'P 1'
_space_group_IT_number 1
_cell_length_a 3.171
_cell_length_b 3.171
_cell_length_c 3.171
_cell_angle_alpha 90.00
_cell_angle_beta 90.00
_cell_angle_gamma 90.00
loop_
_space_group_symop_operation_xyz
'x,y,z'
loop_
_atom_site_label
_atom_site_type_symbol
_atom_site_fract_x
_atom_site_fract_y
_atom_site_fract_z
_atom_site_occupancy
H1 H 0.500 0.000 0.000 1
Fe1 Fe 0.500 0.500 0.500 1
Co1 Co 0.000 0.000 0.000 1
H2 H 0.000 0.500 0.000 1
H3 H 0.000 0.000 0.500 1
# Energy = -4.9521 eV per atom
# Total magnetic moment = 3.2 μB per formula unit
# DOS at the Fermi energy = 0.559 states/eV per atom

=====

# 2
# Fe2CoH | Alexandria via LeMat-Bulk | PBE-GGA | optimized geometry
data_Fe2CoH
_space_group_name_H-M_alt 'P 1'
_space_group_IT_number 1
_cell_length_a 2.558
_cell_length_b 4.408
_cell_length_c 6.505
_cell_angle_alpha 103.08
_cell_angle_beta 90.00
_cell_angle_gamma 90.00
loop_
_space_group_symop_operation_xyz
'x,y,z'
loop_
_atom_site_label
_atom_site_type_symbol
_atom_site_fract_x
_atom_site_fract_y
_atom_site_fract_z
_atom_site_occupancy
Fe1 Fe 0.778 0.071 0.734 1
Fe2 Fe 0.278 0.571 0.734 1
H1 H 0.278 0.843 0.552 1
Co1 Co 0.277 0.343 0.052 1
Fe3 Fe 0.278 0.115 0.370 1
Co2 Co 0.777 0.843 0.052 1
H2 H 0.778 0.343 0.552 1
Fe4 Fe 0.778 0.615 0.370 1
# Energy = -6.8203 eV per atom
# Total magnetic moment = 6.0 μB per formula unit
# DOS at the Fermi energy = 0.666 states/eV per atom

=====

# 3
# FeCo3H | Alexandria via LeMat-Bulk | PBE-GGA | optimized geometry
data_FeCo3H
_space_group_name_H-M_alt 'P 1'
_space_group_IT_number 1
_cell_length_a 3.531
_cell_length_b 3.531
_cell_length_c 3.531
_cell_angle_alpha 90.00
_cell_angle_beta 90.00
_cell_angle_gamma 90.00
loop_
_space_group_symop_operation_xyz
'x,y,z'
loop_
_atom_site_label
_atom_site_type_symbol
_atom_site_fract_x
_atom_site_fract_y
_atom_site_fract_z
_atom_site_occupancy
Fe1 Fe 0.500 0.500 0.500 1
H1 H 0.000 0.000 0.000 1
Co1 Co 0.000 0.000 0.500 1
Co2 Co 0.000 0.500 0.000 1
Co3 Co 0.500 0.000 0.000 1
# Energy = -6.4365 eV per atom
# Total magnetic moment = 1.7 μB per formula unit
# DOS at the Fermi energy = 1.657 states/eV per atom

=====

# 4
# FeCoH3 | Alexandria via LeMat-Bulk | PBE-GGA | optimized geometry
data_FeCoH3
_space_group_name_H-M_alt 'P 1'
_space_group_IT_number 1
_cell_length_a 3.945
_cell_length_b 5.604
_cell_length_c 5.604
_cell_angle_alpha 88.18
_cell_angle_beta 89.99
_cell_angle_gamma 89.99
loop_
_space_group_symop_operation_xyz
'x,y,z'
loop_
_atom_site_label
_atom_site_type_symbol
_atom_site_fract_x
_atom_site_fract_y
_atom_site_fract_z
_atom_site_occupancy
Co1 Co 0.250 0.123 0.877 1
H1 H 0.500 0.860 0.359 1
Co2 Co 0.750 0.377 0.623 1
H2 H 0.500 0.140 0.641 1
Fe1 Fe 0.243 0.113 0.387 1
H3 H 0.000 0.359 0.860 1
H4 H 0.001 0.371 0.386 1
Co3 Co 0.750 0.877 0.123 1
Co4 Co 0.250 0.623 0.377 1
H5 H 0.499 0.614 0.629 1
Fe2 Fe 0.743 0.387 0.113 1
H6 H 0.000 0.641 0.140 1
H7 H 0.501 0.386 0.371 1
H8 H 0.001 0.114 0.129 1
H9 H 0.501 0.129 0.114 1
H10 H 0.499 0.871 0.886 1
Fe3 Fe 0.757 0.887 0.613 1
Fe4 Fe 0.257 0.613 0.887 1
H11 H 0.999 0.886 0.871 1
H12 H 0.999 0.629 0.614 1
# Energy = -5.0426 eV per atom
# Total magnetic moment = 3.1 μB per formula unit
# DOS at the Fermi energy = 0.568 states/eV per atom

=====

# 5
# FeCoH3 | Alexandria via LeMat-Bulk | PBE-GGA | optimized geometry
data_FeCoH3
_space_group_name_H-M_alt 'P 1'
_space_group_IT_number 1
_cell_length_a 2.644
_cell_length_b 4.428
_cell_length_c 5.203
_cell_angle_alpha 87.81
_cell_angle_beta 104.55
_cell_angle_gamma 89.92
loop_
_space_group_symop_operation_xyz
'x,y,z'
loop_
_atom_site_label
_atom_site_type_symbol
_atom_site_fract_x
_atom_site_fract_y
_atom_site_fract_z
_atom_site_occupancy
H1 H 0.314 0.485 0.903 1
Fe1 Fe 0.175 0.139 0.632 1
Fe2 Fe 0.568 0.703 0.415 1
H2 H 0.990 0.972 0.259 1
H3 H 0.797 0.119 0.879 1
Co1 Co 0.434 0.221 0.145 1
H4 H 0.183 0.750 0.652 1
Co2 Co 0.839 0.743 0.954 1
H5 H 0.968 0.487 0.214 1
H6 H 0.601 0.322 0.482 1
# Energy = -5.0204 eV per atom
# Total magnetic moment = 3.0 μB per formula unit
# DOS at the Fermi energy = 0.569 states/eV per atom

=====

# 6
# FeCoH | Alexandria via LeMat-Bulk | PBE-GGA | optimized geometry
data_FeCoH
_space_group_name_H-M_alt 'P 1'
_space_group_IT_number 1
_cell_length_a 3.612
_cell_length_b 7.506
_cell_length_c 3.612
_cell_angle_alpha 90.00
_cell_angle_beta 90.00
_cell_angle_gamma 90.00
loop_
_space_group_symop_operation_xyz
'x,y,z'
loop_
_atom_site_label
_atom_site_type_symbol
_atom_site_fract_x
_atom_site_fract_y
_atom_site_fract_z
_atom_site_occupancy
H1 H 0.000 0.250 0.000 1
H2 H 0.500 0.250 0.500 1
Co1 Co 0.000 0.750 0.500 1
H3 H 0.000 0.750 0.000 1
Fe1 Fe 0.500 0.000 0.500 1
Fe2 Fe 0.000 0.500 0.000 1
Co2 Co 0.500 0.250 0.000 1
Fe3 Fe 0.500 0.500 0.500 1
Fe4 Fe 0.000 0.000 0.000 1
Co3 Co 0.000 0.250 0.500 1
Co4 Co 0.500 0.750 0.000 1
H4 H 0.500 0.750 0.500 1
# Energy = -6.3037 eV per atom
# Total magnetic moment = 3.7 μB per formula unit
# DOS at the Fermi energy = 0.715 states/eV per atom